(1)
A geometry-optimized AcGa6Co structure, computed with PBE.

Results
* DFT total energy: -4.053 eV/atom
* ΔH_f (0 K): -381 meV per atom

a = 4.339 Å, b = 4.339 Å, c = 8.132 Å
α = 90.00°, β = 90.00°, γ = 90.00°
Space group P4/mmm (No. 123)
Inequivalent atoms, fractional coordinates:
Ac  0.000  0.000  0.000 [1 per cell]
Ga  0.000  0.500  0.342 [4 per cell]
Ga  0.500  0.500  0.153 [2 per cell]
Co  0.000  0.000  0.500 [1 per cell]


(2)
A geometry-optimized InNi2P structure, computed with PBE.

Results
* DFT total energy: -5.166 eV/atom
* ΔH_f (0 K): -238 meV per atom

a = 2.873 Å, b = 3.494 Å, c = 5.983 Å
α = 90.00°, β = 90.00°, γ = 90.00°
Space group Pmm2 (No. 25)
Inequivalent atoms, fractional coordinates:
In  0.000  0.000  0.000 [1 per cell]
Ni  0.500  0.000  0.399 [1 per cell]
Ni  0.500  0.500  0.749 [1 per cell]
P  0.000  0.500  0.471 [1 per cell]


(3)
A geometry-optimized OsSe structure, computed with PBE.

Results
* formation energy (no corrections): 499 meV per atom
* DFT total energy: -6.858 eV/atom

a = 3.004 Å, b = 13.281 Å, c = 3.851 Å
α = 90.00°, β = 90.00°, γ = 90.00°
Space group Cmcm (No. 63)
Inequivalent atoms, fractional coordinates:
Os  0.000  0.201  0.250 [4 per cell]
Se  0.000  0.383  0.250 [4 per cell]


(4)
A geometry-optimized EuCdIr4 structure, computed with PBE.

Results
* DFT total energy: -7.944 eV/atom
* ΔH_f (0 K): -172 meV per atom

a = 7.564 Å, b = 7.564 Å, c = 7.564 Å
α = 90.00°, β = 90.00°, γ = 90.00°
Space group F-43m (No. 216)
Inequivalent atoms, fractional coordinates:
Eu  0.000  0.000  0.000 [4 per cell]
Cd  0.250  0.250  0.250 [4 per cell]
Ir  0.125  0.125  0.625 [16 per cell]